# 1
# GGA-PBE Sr3Tl4Pb, relaxed
data_Sr3Tl4Pb
_chemical_formula_sum 'Sr6 Tl8 Pb2'
_symmetry_space_group_name_H-M 'I m m m'
_symmetry_Int_Tables_number 71
_symmetry_space_group_name_Hall '-I 2 2'
_cell_length_a 3.919
_cell_length_b 7.090
_cell_length_c 20.590
_cell_angle_alpha 90.00
_cell_angle_beta 90.00
_cell_angle_gamma 90.00
loop_
_atom_site_label
_atom_site_fract_x
_atom_site_fract_y
_atom_site_fract_z
Sr1 0.000 0.000 0.000
Sr2 0.000 0.500 0.227
Tl1 0.000 0.269 0.376
Pb1 0.000 0.000 0.500
# V (Å³/f.u.): 286
# Uncorrected energy (eV/atom): -2.49

***

# 2
# GGA-PBE Sr3TlPb3, relaxed
data_Sr3TlPb3
_chemical_formula_sum 'Sr12 Tl4 Pb12'
_symmetry_space_group_name_H-M 'C 1 2/m 1'
_symmetry_Int_Tables_number 12
_cell_length_a 12.583
_cell_length_b 5.142
_cell_length_c 16.233
_cell_angle_alpha 90.00
_cell_angle_beta 107.79
_cell_angle_gamma 90.00
loop_
_symmetry_equiv_pos_as_xyz
'x,y,z'
'-x,-y,-z'
'-x,y,-z'
'x,-y,z'
'x+1/2,y+1/2,z'
'-x+1/2,-y+1/2,-z'
'-x+1/2,y+1/2,-z'
'x+1/2,-y+1/2,z'
loop_
_atom_site_label
_atom_site_fract_x
_atom_site_fract_y
_atom_site_fract_z
Sr1 0.022 0.000 0.379
Sr2 0.106 0.000 0.925
Sr3 0.221 0.000 0.224
Tl1 0.217 0.500 0.387
Pb1 0.002 0.500 0.778
Pb2 0.113 0.500 0.075
Pb3 0.135 0.500 0.555
# V (Å³/f.u.): 250
# Uncorrected energy (eV/atom): -3.10

***

# 3
# GGA-PBE SrTlPb2, relaxed
data_SrTlPb2
_chemical_formula_sum 'Sr2 Tl2 Pb4'
_symmetry_space_group_name_H-M 'C 1 m 1'
_symmetry_Int_Tables_number 8
_cell_length_a 11.545
_cell_length_b 4.064
_cell_length_c 5.834
_cell_angle_alpha 90.00
_cell_angle_beta 106.35
_cell_angle_gamma 90.00
loop_
_symmetry_equiv_pos_as_xyz
'x,y,z'
'x,-y,z'
'x+1/2,y+1/2,z'
'x+1/2,-y+1/2,z'
loop_
_atom_site_label
_atom_site_fract_x
_atom_site_fract_y
_atom_site_fract_z
Sr1 0.000 0.000 0.000
Tl1 0.241 0.000 0.737
Pb1 0.260 0.500 0.282
Pb2 0.495 0.000 0.500
# V (Å³/f.u.): 131
# Uncorrected energy (eV/atom): -3.11

***

# 4
# GGA-PBE Sr3Tl12Pb, relaxed
data_Sr3Tl12Pb
_chemical_formula_sum 'Sr3 Tl12 Pb1'
_symmetry_space_group_name_H-M 'P 4/m m m'
_symmetry_Int_Tables_number 123
_symmetry_space_group_name_Hall '-P 4 2'
_cell_length_a 5.076
_cell_length_b 5.076
_cell_length_c 19.367
_cell_angle_alpha 90.00
_cell_angle_beta 90.00
_cell_angle_gamma 90.00
loop_
_atom_site_label
_atom_site_fract_x
_atom_site_fract_y
_atom_site_fract_z
Sr1 0.000 0.000 0.000
Sr2 0.000 0.000 0.255
Tl1 0.000 0.500 0.127
Tl2 0.000 0.500 0.380
Tl3 0.500 0.500 0.000
Tl4 0.500 0.500 0.245
Tl5 0.500 0.500 0.500
Pb1 0.000 0.000 0.500
# V (Å³/f.u.): 499
# Uncorrected energy (eV/atom): -2.51

***

# 5
# GGA-PBE SrTlZnPb, relaxed
data_SrTlZnPb
_chemical_formula_sum 'Sr4 Tl4 Zn4 Pb4'
_symmetry_space_group_name_H-M 'F -4 3 m'
_symmetry_Int_Tables_number 216
_symmetry_space_group_name_Hall 'F -4 2 3'
_cell_length_a 7.761
_cell_length_b 7.761
_cell_length_c 7.761
_cell_angle_alpha 90.00
_cell_angle_beta 90.00
_cell_angle_gamma 90.00
loop_
_atom_site_label
_atom_site_fract_x
_atom_site_fract_y
_atom_site_fract_z
Sr1 0.000 0.000 0.000
Tl1 0.250 0.250 0.750
Zn1 0.250 0.250 0.250
Pb1 0.000 0.000 0.500
# V (Å³/f.u.): 117
# Uncorrected energy (eV/atom): -2.42

***

# 6
# GGA-PBE SrTm2Pb9, relaxed
data_SrTm2Pb9
_chemical_formula_sum 'Sr1 Tm2 Pb9'
_symmetry_space_group_name_H-M 'P 4/m m m'
_symmetry_Int_Tables_number 123
_symmetry_space_group_name_Hall '-P 4 2'
_cell_length_a 4.987
_cell_length_b 4.987
_cell_length_c 14.350
_cell_angle_alpha 90.00
_cell_angle_beta 90.00
_cell_angle_gamma 90.00
loop_
_atom_site_label
_atom_site_fract_x
_atom_site_fract_y
_atom_site_fract_z
Sr1 0.000 0.000 0.000
Tm1 0.000 0.000 0.339
Pb1 0.000 0.500 0.175
Pb2 0.000 0.500 0.500
Pb3 0.500 0.500 0.000
Pb4 0.500 0.500 0.337
# V (Å³/f.u.): 357
# Uncorrected energy (eV/atom): -3.94

***

Q: Among the records above, which one has the lowest V?
A: SrTlZnPb